[1]
Compound: V4AgTe8
Source: the Alexandria database
Functional: GGA-PBE
Structure: relaxed

abc: 7.4382 7.4382 22.7701
angles: 90.00 90.00 120.00
Space group R-3m (No. 166, hexagonal axes)
Inequivalent atoms, fractional coordinates:
V 0.0000 0.0000 0.0000
V 0.0000 0.5000 0.0000
Ag 0.0000 0.0000 0.5000
Te 0.0000 0.0000 0.2589
Te 0.0009 0.5005 0.2591

Computed properties:
E, eV/atom: -5.201
Formation energy (no corrections), eV per atom: -0.24
Distance to the lowest polymorph of the same formula, meV/atom: 46
ρ, g/cm3: 6.08



[2]
Compound: YCuC
Source: the Alexandria database
Functional: GGA-PBE
Structure: relaxed

abc: 8.147 3.692 6.372
angles: 90.00 104.10 90.00
Space group C2/m (No. 12)
Inequivalent atoms, fractional coordinates:
Y 0.114 0.000 0.300
Cu 0.139 0.500 0.935
C 0.080 0.500 0.566

Computed properties:
E, eV/atom: -6.815
ρ, g/cm3: 5.88



[3]
Compound: CuAsRu2
Source: the Alexandria database
Functional: GGA-PBE
Structure: relaxed

abc: 6.102 6.102 6.102
angles: 90.00 90.00 90.00
Space group F-43m (No. 216)
Inequivalent atoms, fractional coordinates:
Cu 0.000 0.000 0.000
As 0.250 0.250 0.750
Ru 0.000 0.000 0.500
Ru 0.250 0.250 0.250

Computed properties:
E, eV/atom: -6.505
ρ, g/cm3: 9.96



[4]
Compound: LiTe2Pd
Source: the Alexandria database
Functional: GGA-PBE
Structure: relaxed

abc: 4.2076 4.2076 18.4382
angles: 90.00 90.00 120.00
Space group R3m (No. 160, hexagonal axes)
Inequivalent atoms, fractional coordinates:
Li 0.0000 0.0000 0.0000
Te 0.0000 0.0000 0.5714
Te 0.0000 0.0000 0.7539
Pd 0.0000 0.0000 0.1596

Computed properties:
E, eV/atom: -3.808
Formation energy (no corrections), eV per atom: -0.46
ρ, g/cm3: 6.49